This record from Alexandria describes a crystal of K2Zr2ZnH12O6F12 relaxed with PBEsol. The functional is SCAN. Values from VASP.

Structure (Quantum ESPRESSO input):
```
&SYSTEM
  ibrav = 0, nat = 70, ntyp = 6
/
ATOMIC_SPECIES
K 39.10 K.upf
Zr 91.22 Zr.upf
Zn 65.41 Zn.upf
H 1.01 H.upf
O 16.00 O.upf
F 19.00 F.upf
ATOMIC_POSITIONS crystal
K 0.121 0.224 0.083
K 0.121 0.276 0.583
K 0.879 0.724 0.417
K 0.879 0.776 0.917
Zr 0.313 0.013 0.854
Zr 0.313 0.487 0.354
Zr 0.687 0.513 0.646
Zr 0.687 0.987 0.146
Zn 0.500 0.000 0.500
Zn 0.500 0.500 0.000
H 0.081 0.062 0.380
H 0.081 0.438 0.880
H 0.236 0.184 0.374
H 0.236 0.316 0.874
H 0.259 0.576 0.111
H 0.259 0.924 0.611
H 0.309 0.693 0.837
H 0.309 0.807 0.337
H 0.391 0.568 0.783
H 0.391 0.932 0.283
H 0.420 0.698 0.112
H 0.420 0.802 0.612
H 0.580 0.198 0.388
H 0.580 0.302 0.888
H 0.609 0.068 0.717
H 0.609 0.432 0.217
H 0.691 0.193 0.663
H 0.691 0.307 0.163
H 0.741 0.076 0.389
H 0.741 0.424 0.889
H 0.764 0.684 0.126
H 0.764 0.816 0.626
H 0.919 0.562 0.120
H 0.919 0.938 0.620
O 0.214 0.117 0.427
O 0.214 0.383 0.927
O 0.313 0.631 0.062
O 0.313 0.869 0.562
O 0.419 0.618 0.854
O 0.419 0.882 0.354
O 0.581 0.118 0.646
O 0.581 0.382 0.146
O 0.687 0.131 0.438
O 0.687 0.369 0.938
O 0.786 0.617 0.073
O 0.786 0.883 0.573
F 0.071 0.067 0.901
F 0.071 0.433 0.401
F 0.142 0.023 0.678
F 0.142 0.477 0.178
F 0.157 0.669 0.310
F 0.157 0.831 0.810
F 0.340 0.212 0.810
F 0.340 0.288 0.310
F 0.419 0.030 0.182
F 0.419 0.470 0.682
F 0.473 0.617 0.495
F 0.473 0.883 0.995
F 0.527 0.117 0.005
F 0.527 0.383 0.505
F 0.581 0.530 0.318
F 0.581 0.970 0.818
F 0.660 0.712 0.690
F 0.660 0.788 0.190
F 0.843 0.169 0.190
F 0.843 0.331 0.690
F 0.858 0.523 0.822
F 0.858 0.977 0.322
F 0.929 0.567 0.599
F 0.929 0.933 0.099
CELL_PARAMETERS angstrom
6.521 0.000 0.000
0.000 9.909 0.000
-5.088 0.000 11.823
```

Values from the calculation:
The calculation puts the density of states at the Fermi level at 0.000 states/eV per cell. Its space-group type is No. 14. The total energy comes out at -8.37 eV per atom.


This record from Alexandria describes a crystal of K3SnHF8 relaxed with PBEsol. The functional is SCAN. Values from VASP.

Structure (Quantum ESPRESSO input):
```
&SYSTEM
  ibrav = 0, nat = 26, ntyp = 4
/
ATOMIC_SPECIES
K 39.10 K.upf
Sn 118.71 Sn.upf
H 1.01 H.upf
F 19.00 F.upf
ATOMIC_POSITIONS crystal
K 0.163 0.837 0.750
K 0.181 0.376 0.785
K 0.376 0.181 0.285
K 0.624 0.819 0.715
K 0.819 0.624 0.215
K 0.837 0.163 0.250
Sn 0.325 0.675 0.250
Sn 0.675 0.325 0.750
H 0.000 0.000 0.000
H 0.000 0.000 0.500
F 0.096 0.145 0.476
F 0.103 0.457 0.166
F 0.145 0.096 0.976
F 0.183 0.817 0.250
F 0.280 0.636 0.533
F 0.364 0.720 0.967
F 0.457 0.103 0.666
F 0.465 0.535 0.250
F 0.535 0.465 0.750
F 0.543 0.897 0.334
F 0.636 0.280 0.033
F 0.720 0.364 0.467
F 0.817 0.183 0.750
F 0.855 0.904 0.024
F 0.897 0.543 0.834
F 0.904 0.855 0.524
CELL_PARAMETERS angstrom
4.419 -7.043 0.000
4.419 7.043 0.000
-0.532 0.000 6.817
```

Values from the calculation:
The calculation puts the density of states at the Fermi level at 0.000 states/eV per cell. Its space-group type is No. 15. The total energy comes out at -9.89 eV per atom.


This record from Alexandria describes a crystal of La2HF relaxed with PBEsol. The functional is SCAN. Values from VASP.

Structure (Quantum ESPRESSO input):
```
&SYSTEM
  ibrav = 0, nat = 8, ntyp = 3
/
ATOMIC_SPECIES
La 138.91 La.upf
H 1.01 H.upf
F 19.00 F.upf
ATOMIC_POSITIONS crystal
La 0.115 0.625 0.990
La 0.375 0.365 0.490
La 0.635 0.125 0.010
La 0.875 0.885 0.510
H 0.000 0.000 0.000
H 0.750 0.250 0.500
F 0.250 0.750 0.500
F 0.500 0.500 0.000
CELL_PARAMETERS angstrom
-2.833 2.833 5.581
2.833 -2.833 5.581
2.833 2.833 -5.581
```

Values from the calculation:
The calculation puts the density of states at the Fermi level at 5.105 states/eV per cell. Its space-group type is No. 122. The total energy comes out at -24.88 eV per atom.


This record from Alexandria describes a crystal of LaH2OF relaxed with PBEsol. The functional is SCAN. Values from VASP.

Structure (Quantum ESPRESSO input):
```
&SYSTEM
  ibrav = 0, nat = 5, ntyp = 4
/
ATOMIC_SPECIES
La 138.91 La.upf
H 1.01 H.upf
O 16.00 O.upf
F 19.00 F.upf
ATOMIC_POSITIONS crystal
La 0.000 0.000 0.000
H 0.000 0.500 0.500
H 0.500 0.000 0.500
O 0.500 0.500 0.000
F 0.000 0.000 0.500
CELL_PARAMETERS angstrom
3.475 0.000 0.000
0.000 3.475 0.000
0.000 0.000 4.983
```

Values from the calculation:
The calculation puts the density of states at the Fermi level at 0.888 states/eV per cell. Its space-group type is No. 123. The total energy comes out at -13.07 eV per atom.


This record from Alexandria describes a crystal of LiHF relaxed with PBEsol. The functional is SCAN. Values from VASP.

Structure (Quantum ESPRESSO input):
```
&SYSTEM
  ibrav = 0, nat = 6, ntyp = 3
/
ATOMIC_SPECIES
Li 6.94 Li.upf
H 1.01 H.upf
F 19.00 F.upf
ATOMIC_POSITIONS crystal
Li 0.185 0.185 0.355
Li 0.815 0.815 0.645
H 0.096 0.096 0.995
H 0.904 0.904 0.005
F 0.320 0.320 0.655
F 0.680 0.680 0.345
CELL_PARAMETERS angstrom
1.938 -1.947 0.000
1.938 1.947 0.000
-1.762 0.000 6.721
```

Values from the calculation:
The calculation puts the density of states at the Fermi level at 0.000 states/eV per cell. Its space-group type is No. 12. The total energy comes out at -5.18 eV per atom.


This record from Alexandria describes a crystal of LiHF2 relaxed with PBEsol. The functional is SCAN. Values from VASP.

Structure (Quantum ESPRESSO input):
```
&SYSTEM
  ibrav = 0, nat = 4, ntyp = 3
/
ATOMIC_SPECIES
Li 6.94 Li.upf
H 1.01 H.upf
F 19.00 F.upf
ATOMIC_POSITIONS crystal
Li 0.000 0.000 0.000
H 0.500 0.500 0.500
F 0.413 0.413 0.413
F 0.587 0.587 0.587
CELL_PARAMETERS angstrom
1.483 0.856 4.383
-1.483 0.856 4.383
0.000 -1.712 4.383
```

Values from the calculation:
The calculation puts the density of states at the Fermi level at 0.000 states/eV per cell. Its space-group type is No. 166. The total energy comes out at -5.66 eV per atom.


This record from Alexandria describes a crystal of Li2HF relaxed with PBEsol. The functional is SCAN. Values from VASP.

Structure (Quantum ESPRESSO input):
```
&SYSTEM
  ibrav = 0, nat = 8, ntyp = 3
/
ATOMIC_SPECIES
Li 6.94 Li.upf
H 1.01 H.upf
F 19.00 F.upf
ATOMIC_POSITIONS crystal
Li 0.121 0.625 0.996
Li 0.375 0.371 0.496
Li 0.629 0.125 0.004
Li 0.875 0.879 0.504
H 0.250 0.750 0.500
H 0.500 0.500 0.000
F 0.000 0.000 0.000
F 0.750 0.250 0.500
CELL_PARAMETERS angstrom
-2.163 2.163 4.268
2.163 -2.163 4.268
2.163 2.163 -4.268
```

Values from the calculation:
The calculation puts the density of states at the Fermi level at 0.000 states/eV per cell. Its space-group type is No. 122. The total energy comes out at -4.70 eV per atom.


This record from Alexandria describes a crystal of LiPH4NO3F relaxed with PBEsol. The functional is SCAN. Values from VASP.

Structure (Quantum ESPRESSO input):
```
&SYSTEM
  ibrav = 0, nat = 44, ntyp = 6
/
ATOMIC_SPECIES
Li 6.94 Li.upf
P 30.97 P.upf
H 1.01 H.upf
N 14.01 N.upf
O 16.00 O.upf
F 19.00 F.upf
ATOMIC_POSITIONS crystal
Li 0.183 0.063 0.246
Li 0.183 0.437 0.746
Li 0.817 0.563 0.254
Li 0.817 0.937 0.754
P 0.298 0.569 0.143
P 0.298 0.931 0.643
P 0.702 0.069 0.357
P 0.702 0.431 0.857
H 0.058 0.505 0.403
H 0.058 0.995 0.903
H 0.252 0.563 0.496
H 0.252 0.937 0.996
H 0.303 0.726 0.392
H 0.303 0.774 0.892
H 0.343 0.116 0.900
H 0.343 0.384 0.400
H 0.657 0.616 0.600
H 0.657 0.884 0.100
H 0.697 0.226 0.108
H 0.697 0.274 0.608
H 0.748 0.063 0.004
H 0.748 0.437 0.504
H 0.942 0.005 0.097
H 0.942 0.495 0.597
N 0.239 0.547 0.423
N 0.239 0.953 0.923
N 0.761 0.047 0.077
N 0.761 0.453 0.577
O 0.131 0.066 0.712
O 0.131 0.434 0.212
O 0.238 0.632 0.625
O 0.238 0.868 0.125
O 0.430 0.018 0.342
O 0.430 0.482 0.842
O 0.570 0.518 0.158
O 0.570 0.982 0.658
O 0.762 0.132 0.875
O 0.762 0.368 0.375
O 0.869 0.566 0.788
O 0.869 0.934 0.288
F 0.237 0.073 0.544
F 0.237 0.427 0.044
F 0.763 0.573 0.956
F 0.763 0.927 0.456
CELL_PARAMETERS angstrom
5.474 0.000 0.000
0.000 4.942 0.000
-0.292 0.000 14.238
```

Values from the calculation:
The calculation puts the density of states at the Fermi level at 0.000 states/eV per cell. Its space-group type is No. 14. The total energy comes out at -6.97 eV per atom.


This record from Alexandria describes a crystal of Li2VH2OF5 relaxed with PBEsol. The functional is SCAN. Values from VASP.

Structure (Quantum ESPRESSO input):
```
&SYSTEM
  ibrav = 0, nat = 22, ntyp = 5
/
ATOMIC_SPECIES
Li 6.94 Li.upf
V 50.94 V.upf
H 1.01 H.upf
O 16.00 O.upf
F 19.00 F.upf
ATOMIC_POSITIONS crystal
Li 0.216 0.243 0.003
Li 0.243 0.216 0.503
Li 0.757 0.784 0.497
Li 0.784 0.757 0.997
V 0.272 0.728 0.750
V 0.728 0.272 0.250
H 0.287 0.636 0.344
H 0.364 0.713 0.156
H 0.636 0.287 0.844
H 0.713 0.364 0.656
O 0.416 0.584 0.250
O 0.584 0.416 0.750
F 0.024 0.976 0.250
F 0.095 0.551 0.867
F 0.155 0.613 0.518
F 0.387 0.845 0.982
F 0.449 0.905 0.633
F 0.551 0.095 0.367
F 0.613 0.155 0.018
F 0.845 0.387 0.482
F 0.905 0.449 0.133
F 0.976 0.024 0.750
CELL_PARAMETERS angstrom
4.673 -3.116 0.000
4.673 3.116 0.000
-0.823 0.000 7.505
```

Values from the calculation:
Its space-group type is No. 15. The total energy comes out at -7.39 eV per atom.


This record from Alexandria describes a crystal of MgSiH12O6F6 relaxed with PBEsol. The functional is SCAN. Values from VASP.

Structure (Quantum ESPRESSO input):
```
&SYSTEM
  ibrav = 0, nat = 52, ntyp = 5
/
ATOMIC_SPECIES
Mg 24.30 Mg.upf
Si 28.09 Si.upf
H 1.01 H.upf
O 16.00 O.upf
F 19.00 F.upf
ATOMIC_POSITIONS crystal
Mg 0.000 0.000 0.000
Mg 0.000 0.500 0.500
Si 0.500 0.000 0.500
Si 0.500 0.500 0.000
H 0.048 0.073 0.320
H 0.048 0.427 0.820
H 0.195 0.533 0.235
H 0.195 0.967 0.735
H 0.242 0.675 0.709
H 0.242 0.825 0.209
H 0.249 0.739 0.532
H 0.249 0.761 0.032
H 0.276 0.222 0.022
H 0.276 0.278 0.522
H 0.384 0.099 0.141
H 0.384 0.401 0.641
H 0.616 0.599 0.359
H 0.616 0.901 0.859
H 0.724 0.722 0.478
H 0.724 0.778 0.978
H 0.751 0.239 0.968
H 0.751 0.261 0.468
H 0.758 0.175 0.791
H 0.758 0.325 0.291
H 0.805 0.033 0.265
H 0.805 0.467 0.765
H 0.952 0.573 0.180
H 0.952 0.927 0.680
O 0.059 0.542 0.272
O 0.059 0.958 0.772
O 0.169 0.677 0.595
O 0.169 0.823 0.095
O 0.273 0.119 0.046
O 0.273 0.381 0.546
O 0.727 0.619 0.454
O 0.727 0.881 0.954
O 0.831 0.177 0.905
O 0.831 0.323 0.405
O 0.941 0.042 0.228
O 0.941 0.458 0.728
F 0.276 0.101 0.464
F 0.276 0.399 0.964
F 0.362 0.645 0.913
F 0.362 0.855 0.413
F 0.443 0.548 0.185
F 0.443 0.952 0.685
F 0.557 0.048 0.315
F 0.557 0.452 0.815
F 0.638 0.145 0.587
F 0.638 0.355 0.087
F 0.724 0.601 0.036
F 0.724 0.899 0.536
CELL_PARAMETERS angstrom
6.453 0.000 0.000
0.000 9.370 0.000
-1.490 0.000 8.224
```

Values from the calculation:
The calculation puts the density of states at the Fermi level at 0.000 states/eV per cell. Its space-group type is No. 14. The total energy comes out at -6.25 eV per atom.


This record from Alexandria describes a crystal of MnHNF2 relaxed with PBEsol. The functional is SCAN. Values from VASP.

Structure (Quantum ESPRESSO input):
```
&SYSTEM
  ibrav = 0, nat = 5, ntyp = 4
/
ATOMIC_SPECIES
Mn 54.94 Mn.upf
H 1.01 H.upf
N 14.01 N.upf
F 19.00 F.upf
ATOMIC_POSITIONS crystal
Mn 0.000 0.000 0.000
H 0.500 0.500 0.000
N 0.000 0.000 0.500
F 0.000 0.500 0.500
F 0.500 0.000 0.500
CELL_PARAMETERS angstrom
4.208 0.000 0.000
0.000 4.208 0.000
0.000 0.000 3.449
```

Values from the calculation:
The calculation puts the density of states at the Fermi level at 1.360 states/eV per cell. Its space-group type is No. 123. The polymorph energy (0 for the lowest one) comes out at 658 meV per atom. The total energy comes out at -7.39 eV per atom.


This record from Alexandria describes a crystal of MnH8N2F6 relaxed with PBEsol. The functional is SCAN. Values from VASP.

Structure (Quantum ESPRESSO input):
```
&SYSTEM
  ibrav = 0, nat = 34, ntyp = 4
/
ATOMIC_SPECIES
Mn 54.94 Mn.upf
H 1.01 H.upf
N 14.01 N.upf
F 19.00 F.upf
ATOMIC_POSITIONS crystal
Mn 0.333 0.667 0.000
Mn 0.667 0.333 0.500
H 0.000 0.000 0.036
H 0.000 0.000 0.536
H 0.097 0.194 0.684
H 0.097 0.903 0.684
H 0.140 0.570 0.336
H 0.194 0.097 0.184
H 0.333 0.667 0.485
H 0.430 0.570 0.336
H 0.430 0.860 0.336
H 0.570 0.140 0.836
H 0.570 0.430 0.836
H 0.667 0.333 0.985
H 0.806 0.903 0.684
H 0.860 0.430 0.836
H 0.903 0.097 0.184
H 0.903 0.806 0.184
N 0.000 0.000 0.147
N 0.000 0.000 0.647
N 0.333 0.667 0.374
N 0.667 0.333 0.874
F 0.038 0.519 0.113
F 0.185 0.370 0.887
F 0.185 0.815 0.887
F 0.370 0.185 0.387
F 0.481 0.519 0.113
F 0.481 0.962 0.113
F 0.519 0.038 0.613
F 0.519 0.481 0.613
F 0.630 0.815 0.887
F 0.815 0.185 0.387
F 0.815 0.630 0.387
F 0.962 0.481 0.613
CELL_PARAMETERS angstrom
5.805 0.000 0.000
-2.902 5.027 0.000
0.000 0.000 9.268
```

Values from the calculation:
The calculation puts the density of states at the Fermi level at 0.000 states/eV per cell. Its space-group type is No. 186. The total energy comes out at -6.56 eV per atom.


This record from Alexandria describes a crystal of MnHNF2 relaxed with PBEsol. The functional is SCAN. Values from VASP.

Structure (Quantum ESPRESSO input):
```
&SYSTEM
  ibrav = 0, nat = 5, ntyp = 4
/
ATOMIC_SPECIES
Mn 54.94 Mn.upf
H 1.01 H.upf
N 14.01 N.upf
F 19.00 F.upf
ATOMIC_POSITIONS crystal
Mn 0.000 0.000 0.000
H 0.500 0.500 0.500
N 0.500 0.500 0.000
F 0.000 0.500 0.500
F 0.500 0.000 0.500
CELL_PARAMETERS angstrom
4.036 0.000 0.000
0.000 4.036 0.000
0.000 0.000 2.670
```

Values from the calculation:
The calculation puts the density of states at the Fermi level at 0.598 states/eV per cell. Its space-group type is No. 123. The polymorph energy (0 for the lowest one) comes out at 0 meV per atom. The total energy comes out at -8.05 eV per atom.